Here is an optimized crystal structure of Dy14HoTh from Alexandria via LeMat-Bulk. Energies are from PBE.

Structure (extended XYZ):
```
16
Lattice="-3.881 2.571 5.345 -1.810 -6.597 1.856 7.982 -0.493 6.033" Properties=species:S:1:pos:R:3 pbc="T T T"
Dy 0.831 -2.268 2.851
Dy 1.978 -4.543 9.510
Dy 0.369 1.179 7.925
Dy -1.682 0.140 2.236
Dy 1.405 -3.406 6.181
Dy -2.035 -4.295 6.477
Dy -1.123 -0.973 5.543
Dy 2.889 -1.221 8.575
Dy -0.080 -5.590 3.786
Dy 2.309 -0.107 5.253
Dy 4.844 -2.516 5.884
Dy 3.932 -5.838 6.818
Dy -0.536 -2.120 8.853
Dy -4.527 -1.873 5.836
Ho -2.587 -3.159 3.164
Th -3.622 1.425 4.909
```

Calculated values
Energy of formation from the pure elements ... 0.017 eV per atom
Size of the total moment ... 0.000 μB per atom
Crystal system ... tetragonal
DOS(E_F) ... 19.04 states/eV/f.u.